Below is EuHPb after structural relaxation, with properties calculated at the PBE level.

Properties
Polymorph energy (0 for the lowest one) (eV per formula unit): 0.148
Volume (A^3/atom): 22.95

Unit cell a=3.3346 b=3.3346 c=12.3837 alpha=90.00 beta=90.00 gamma=90.00
Space group I4mm (No. 107)
Unique sites:
Eu 0.0000 0.0000 0.0000 (multiplicity 2)
H 0.0000 0.0000 0.5365 (multiplicity 2)
Pb 0.0000 0.0000 0.2746 (multiplicity 2)


Below is Sr2CdPPd6 after structural relaxation, with properties calculated at the PBE level.

Properties
Total DFT energy (no corrections) (eV per cell): -46.7
Volume (A^3/atom): 21.98

Unit cell a=5.8876 b=6.3308 c=7.3150 alpha=71.62 beta=66.85 gamma=62.75
Space group P-1 (No. 2)
Unique sites:
Sr 0.2312 0.2411 0.2987 (multiplicity 2)
Cd 0.5000 0.5000 0.5000 (multiplicity 1)
P 0.0000 0.0000 0.0000 (multiplicity 1)
Pd 0.2415 0.2318 0.8093 (multiplicity 2)
Pd 0.2437 0.6388 0.8715 (multiplicity 2)
Pd 0.2913 0.7697 0.1861 (multiplicity 2)


Below is K5Ac3F12 after structural relaxation, with properties calculated at the PBE level.

Properties
Total DFT energy (no corrections) (eV per cell): -828.9
Volume (A^3/atom): 22.46

Unit cell a=15.3169 b=15.3169 c=15.3169 alpha=90.00 beta=90.00 gamma=90.00
Space group Ia-3d (No. 230)
Unique sites:
K 0.0000 0.0000 0.0000 (multiplicity 16)
K 0.0000 0.2500 0.3750 (multiplicity 24)
Ac 0.0000 0.2500 0.1250 (multiplicity 24)
F 0.0035 0.0589 0.1637 (multiplicity 96)


Below is NdSm2Th3As6 after structural relaxation, with properties calculated at the PBE level.

Properties
Total DFT energy (no corrections) (eV per cell): -164.2
Volume (A^3/atom): 27.03

Unit cell a=7.3688 b=12.7424 c=7.3314 alpha=90.00 beta=109.56 gamma=90.00
Space group C2/m (No. 12)
Unique sites:
Nd 0.0000 0.0000 0.0000 (multiplicity 2)
Sm 0.0000 0.3332 0.0000 (multiplicity 4)
Th 0.0000 0.1662 0.5000 (multiplicity 4)
Th 0.0000 0.5000 0.5000 (multiplicity 2)
As 0.2480 0.5000 0.2503 (multiplicity 4)
As 0.2487 0.3323 0.7491 (multiplicity 8)


Below is LaZrSe2 after structural relaxation, with properties calculated at the PBE level.

Properties
Polymorph energy (0 for the lowest one) (eV per formula unit): 2.625
Volume (A^3/atom): 34.60

Unit cell a=4.1296 b=4.1296 c=28.1123 alpha=90.00 beta=90.00 gamma=120.00
Space group R3m (No. 160, hexagonal axes)
Unique sites:
La 0.0000 0.0000 0.0000 (multiplicity 3)
Zr 0.0000 0.0000 0.7781 (multiplicity 3)
Se 0.0000 0.0000 0.2777 (multiplicity 3)
Se 0.0000 0.0000 0.4854 (multiplicity 3)


Below is RbTlBP after structural relaxation, with properties calculated at the PBE level.

Properties
Polymorph energy (0 for the lowest one) (eV per formula unit): 0.614
Volume (A^3/atom): 31.43

Unit cell a=8.0625 b=4.6337 c=6.8095 alpha=90.00 beta=98.75 gamma=90.00
Space group Cm (No. 8)
Unique sites:
Rb 0.0000 0.0000 0.0000 (multiplicity 2)
Tl 0.2144 0.5000 0.4004 (multiplicity 2)
B 0.4607 0.0000 0.5629 (multiplicity 2)
P 0.2866 0.0000 0.6904 (multiplicity 2)